# 1
VASP calculation (PBE) on RbTiSb2Te after structural relaxation.

Values from the calculation:
volume	208	Å³/cell
E_form (uncorrected)	1.54	eV per atom
relative energy among the computed polymorphs	1829	meV/atom

Geometry as CIF:
```
data_RbTiSb2Te
_chemical_formula_sum 'Rb1 Ti1 Sb2 Te1'
_symmetry_space_group_name_H-M 'P 4/m m m'
_symmetry_Int_Tables_number 123
_symmetry_space_group_name_Hall '-P 4 2'
_cell_length_a 5.8640
_cell_length_b 5.8640
_cell_length_c 6.0443
_cell_angle_alpha 90.00
_cell_angle_beta 90.00
_cell_angle_gamma 90.00
loop_
_atom_site_label
_atom_site_type_symbol
_atom_site_fract_x
_atom_site_fract_y
_atom_site_fract_z
Rb1 Rb 0.0000 0.0000 0.0000
Ti1 Ti 0.5000 0.5000 0.5000
Sb1 Sb 0.0000 0.5000 0.0000
Te1 Te 0.0000 0.0000 0.5000
```

# 2
VASP calculation (PBE) on Rb3TmSc2S6 after structural relaxation.

Values from the calculation:
volume	610	Å³/cell
E_form (uncorrected)	-1.76	eV per atom

Geometry as CIF:
```
data_Rb3TmSc2S6
_chemical_formula_sum 'Rb6 Tm2 Sc4 S12'
_symmetry_space_group_name_H-M 'C 1 2/m 1'
_symmetry_Int_Tables_number 12
_cell_length_a 6.7966
_cell_length_b 11.7706
_cell_length_c 7.9573
_cell_angle_alpha 90.00
_cell_angle_beta 106.55
_cell_angle_gamma 90.00
loop_
_symmetry_equiv_pos_as_xyz
'x,y,z'
'-x,-y,-z'
'-x,y,-z'
'x,-y,z'
'x+1/2,y+1/2,z'
'-x+1/2,-y+1/2,-z'
'-x+1/2,y+1/2,-z'
'x+1/2,-y+1/2,z'
loop_
_atom_site_label
_atom_site_type_symbol
_atom_site_fract_x
_atom_site_fract_y
_atom_site_fract_z
Rb1 Rb 0.0000 0.0000 0.0000
Rb2 Rb 0.0000 0.3347 0.0000
Tm1 Tm 0.0000 0.5000 0.5000
Sc1 Sc 0.0000 0.1668 0.5000
S1 S 0.2193 0.0000 0.6848
S2 S 0.2329 0.3288 0.6853
```

# 3
VASP calculation (PBE) on Cd2RuCl after structural relaxation.

Values from the calculation:
volume	153	Å³/cell
E_form (uncorrected)	0.49	eV per atom
relative energy among the computed polymorphs	475	meV/atom

Geometry as CIF:
```
data_Cd2RuCl
_chemical_formula_sum 'Cd4 Ru2 Cl2'
_symmetry_space_group_name_H-M 'I 4/m m m'
_symmetry_Int_Tables_number 139
_symmetry_space_group_name_Hall '-I 4 2'
_cell_length_a 4.0681
_cell_length_b 4.0681
_cell_length_c 9.2277
_cell_angle_alpha 90.00
_cell_angle_beta 90.00
_cell_angle_gamma 90.00
loop_
_atom_site_label
_atom_site_type_symbol
_atom_site_fract_x
_atom_site_fract_y
_atom_site_fract_z
Cd1 Cd 0.0000 0.5000 0.2500
Ru1 Ru 0.0000 0.0000 0.0000
Cl1 Cl 0.0000 0.0000 0.5000
```

# 4
VASP calculation (PBE) on Cr2HgMoAu after structural relaxation.

Values from the calculation:
volume	113	Å³/cell
relative energy among the computed polymorphs	1004	meV/atom

Geometry as CIF:
```
data_Cr2HgMoAu
_chemical_formula_sum 'Cr2 Hg1 Mo1 Au1'
_symmetry_space_group_name_H-M 'P 4/m m m'
_symmetry_Int_Tables_number 123
_symmetry_space_group_name_Hall '-P 4 2'
_cell_length_a 4.7224
_cell_length_b 4.7224
_cell_length_c 5.0656
_cell_angle_alpha 90.00
_cell_angle_beta 90.00
_cell_angle_gamma 90.00
loop_
_atom_site_label
_atom_site_type_symbol
_atom_site_fract_x
_atom_site_fract_y
_atom_site_fract_z
Cr1 Cr 0.0000 0.5000 0.0000
Hg1 Hg 0.0000 0.0000 0.5000
Mo1 Mo 0.5000 0.5000 0.5000
Au1 Au 0.0000 0.0000 0.0000
```

# 5
VASP calculation (PBE) on Dy2RuPb after structural relaxation.

Values from the calculation:
volume	379	Å³/cell
relative energy among the computed polymorphs	203	meV/atom

Geometry as CIF:
```
data_Dy2RuPb
_chemical_formula_sum 'Dy8 Ru4 Pb4'
_symmetry_space_group_name_H-M 'F m -3 m'
_symmetry_Int_Tables_number 225
_symmetry_space_group_name_Hall '-F 4 2 3'
_cell_length_a 7.2378
_cell_length_b 7.2378
_cell_length_c 7.2378
_cell_angle_alpha 90.00
_cell_angle_beta 90.00
_cell_angle_gamma 90.00
loop_
_atom_site_label
_atom_site_type_symbol
_atom_site_fract_x
_atom_site_fract_y
_atom_site_fract_z
Dy1 Dy 0.2500 0.2500 0.2500
Ru1 Ru 0.0000 0.0000 0.0000
Pb1 Pb 0.0000 0.0000 0.5000
```